1.
CeBi3Te6: optimized geometry, GGA-PBE.

Cell: 13.203 4.421 13.306 Å, 90.00 110.04 90.00°
Atoms (fractional coordinates):
1 Ce 0.195 0.250 0.042
2 Ce 0.805 0.750 0.958
3 Bi 0.038 0.750 0.300
4 Bi 0.341 0.250 0.443
5 Bi 0.399 0.750 0.850
6 Bi 0.601 0.250 0.150
7 Bi 0.659 0.750 0.557
8 Bi 0.962 0.250 0.700
9 Te 0.029 0.750 0.897
10 Te 0.119 0.250 0.469
11 Te 0.234 0.250 0.805
12 Te 0.240 0.750 0.244
13 Te 0.395 0.750 0.075
14 Te 0.432 0.750 0.607
15 Te 0.568 0.250 0.393
16 Te 0.605 0.250 0.925
17 Te 0.760 0.250 0.756
18 Te 0.766 0.750 0.195
19 Te 0.881 0.750 0.531
20 Te 0.971 0.250 0.103

Summary:
- Formation energy (no corrections): -0.495 eV per atom
- Volume: 730 Å³ per cell

---

2.
SmGa4Cu2Pd: optimized geometry, GGA-PBE.

Cell: 9.309 9.309 9.309 Å, 26.11 26.11 26.11°
Atoms (fractional coordinates):
1 Sm 0.000 0.000 0.000
2 Ga 0.127 0.127 0.127
3 Ga 0.401 0.401 0.401
4 Ga 0.599 0.599 0.599
5 Ga 0.873 0.873 0.873
6 Cu 0.241 0.241 0.241
7 Cu 0.759 0.759 0.759
8 Pd 0.500 0.500 0.500

Summary:
- Formation energy from the elements: -0.4014 eV per atom
- Volume: 138 Å³ per cell

---

3.
CeZnAs2: optimized geometry, GGA-PBE.

Cell: 4.049 4.049 10.166 Å, 90.00 90.00 90.00°
Atoms (fractional coordinates):
1 Ce 0.250 0.250 0.223
2 Ce 0.750 0.750 0.777
3 Zn 0.250 0.750 0.500
4 Zn 0.750 0.250 0.500
5 As 0.250 0.250 0.672
6 As 0.250 0.750 0.000
7 As 0.750 0.250 0.000
8 As 0.750 0.750 0.328

Summary:
- Formation energy from the elements: -0.7106 eV per atom
- Volume: 167 Å³ per cell

---

4.
CaLa2CdFe: optimized geometry, GGA-PBE.

Cell: 5.101 5.101 5.753 Å, 90.00 90.00 90.00°
Atoms (fractional coordinates):
1 Ca 0.000 0.000 0.000
2 La 0.000 0.500 0.500
3 La 0.500 0.000 0.500
4 Cd 0.500 0.500 0.000
5 Fe 0.000 0.000 0.500

Summary:
- Formation energy from the elements: -0.0225 eV per atom
- Distance to the lowest polymorph of the same formula: 0.0 meV/atom
- Volume: 150 Å³ per cell